[1]
Density functional theory data (PBE-GGA) for an optimized crystal structure of TbErIr2.

Summary:
DOS(E_F) = 2.6 states/eV per cell
Symmetry = Fm-3m, No. 225
Excess energy over the best structure of this formula in the dataset = 6 meV per atom

a = 4.8370 Å, b = 4.8370 Å, c = 4.8370 Å
α = 60.00°, β = 60.00°, γ = 60.00°
Atoms (fractional coordinates):
Er: 0.5000 0.5000 0.5000
Tb: 0.0000 0.0000 0.0000
Ir: 0.2500 0.2500 0.2500
Ir: 0.7500 0.7500 0.7500

***

[2]
Density functional theory data (PBE-GGA) for an optimized crystal structure of TbEr5Ir4.

Summary:
DOS(E_F) = 3.5 states/eV per cell
Symmetry = C2/m, No. 12
E = -6.98 eV per atom

a = 4.2601 Å, b = 7.2854 Å, c = 9.2022 Å
α = 113.60°, β = 103.38°, γ = 90.00°
Atoms (fractional coordinates):
Er: 0.1661 0.9230 0.3321
Tb: 0.5000 0.0000 0.0000
Er: 0.8339 0.0770 0.6679
Er: 0.1661 0.4077 0.3321
Er: 0.8339 0.5923 0.6679
Ir: 0.0001 0.2621 0.0003
Ir: 0.3001 0.8006 0.6001
Ir: 0.6999 0.1994 0.3999
Er: 0.5000 0.5000 0.0000
Ir: 0.9999 0.7379 0.9997

***

[3]
Density functional theory data (PBE-GGA) for an optimized crystal structure of TbEr2Ir.

Summary:
DOS(E_F) = 5.0 states/eV per cell
Symmetry = P4/mmm, No. 123
Excess energy over the best structure of this formula in the dataset = 164 meV per atom

a = 3.4509 Å, b = 3.4509 Å, c = 8.7516 Å
α = 90.00°, β = 90.00°, γ = 90.00°
Atoms (fractional coordinates):
Er: 0.0000 0.0000 0.8144
Er: 0.0000 0.0000 0.1856
Ir: 0.5000 0.5000 0.0000
Tb: 0.5000 0.5000 0.5000

***

[4]
Density functional theory data (PBE-GGA) for an optimized crystal structure of Tb2Er2Ir3.

Summary:
DOS(E_F) = 3.2 states/eV per cell
Symmetry = C2/m, No. 12
Excess energy over the best structure of this formula in the dataset = 0 meV per atom

a = 4.7856 Å, b = 4.7858 Å, c = 8.4022 Å
α = 89.96°, β = 106.63°, γ = 120.02°
Atoms (fractional coordinates):
Er: 0.2490 0.6244 0.8741
Tb: 0.2500 0.1251 0.3750
Ir: 0.0000 0.0000 0.0000
Tb: 0.7500 0.8749 0.6250
Ir: 0.4984 0.7496 0.2472
Ir: 0.5016 0.2504 0.7528
Er: 0.7510 0.3756 0.1259

***

[5]
Density functional theory data (PBE-GGA) for an optimized crystal structure of TbEr3Ir8.

Summary:
DOS(E_F) = 4.5 states/eV per cell
Symmetry = P3m1, No. 156
Excess energy over the best structure of this formula in the dataset = 0 meV per atom

a = 5.3494 Å, b = 5.3494 Å, c = 8.6927 Å
α = 90.00°, β = 90.00°, γ = 120.00°
Atoms (fractional coordinates):
Ir: 0.3333 0.6667 0.9998
Er: 0.0000 0.0000 0.9337
Ir: 0.1633 0.8367 0.2493
Ir: 0.5035 0.0069 0.7508
Tb: 0.0000 0.0000 0.5674
Ir: 0.5035 0.4965 0.7508
Ir: 0.9931 0.4965 0.7508
Ir: 0.6734 0.8367 0.2493
Ir: 0.1633 0.3266 0.2493
Ir: 0.3333 0.6667 0.4997
Er: 0.6667 0.3333 0.0668
Er: 0.6667 0.3333 0.4324

***

[6]
Density functional theory data (PBE-GGA) for an optimized crystal structure of TbEr3Ir8.

Summary:
DOS(E_F) = 9.1 states/eV per cell
Symmetry = R3m, No. 160
Excess energy over the best structure of this formula in the dataset = 4 meV per atom

a = 5.3490 Å, b = 5.3490 Å, c = 9.2561 Å
α = 73.21°, β = 73.21°, γ = 60.00°
Atoms (fractional coordinates):
Ir: 0.4369 0.9374 0.6883
Er: 0.0002 0.0002 0.9993
Ir: 0.4377 0.9380 0.1866
Ir: 0.4377 0.4377 0.1866
Er: 0.4998 0.4998 0.5007
Tb: 0.8751 0.8751 0.3747
Ir: 0.6875 0.6875 0.9375
Ir: 0.9374 0.4369 0.6883
Ir: 0.9374 0.9374 0.6883
Er: 0.3749 0.3749 0.8753
Ir: 0.1875 0.1875 0.4376
Ir: 0.9380 0.4377 0.1866